Entry 1:
Computed, not measured: La6Te2PSe3 after structural relaxation at the GGA-PBE level of DFT.

abc: 4.366 8.878 9.824
angles: 102.48 102.84 90.00
Fractional coordinates of all 12 atoms:
Se (0.500, 0.500, 0.000)
Se (0.830, 0.162, 0.659)
Se (0.170, 0.838, 0.341)
Te (0.832, 0.663, 0.665)
Te (0.168, 0.337, 0.335)
La (0.342, 0.933, 0.683)
La (0.659, 0.599, 0.318)
La (0.005, 0.769, 0.009)
La (0.658, 0.067, 0.317)
La (0.341, 0.401, 0.682)
La (0.995, 0.231, 0.991)
P (0.500, 0.000, 0.000)

## Properties
Final energy ... -6.12 eV/atom
Total magnetization ... 0.00 μB/cell
ΔE_f (raw) ... -1.811 eV/atom
Space-group type ... No. 12
Theoretical density ... 6.2 g cm⁻³



Entry 2:
Computed, not measured: La4TeP2Se after structural relaxation at the GGA-PBE level of DFT.

abc: 4.325 7.680 7.490
angles: 71.00 90.00 90.00
Fractional coordinates of all 8 atoms:
La (0.500, 0.773, 0.249)
La (0.000, 0.222, 0.266)
La (0.500, 0.227, 0.751)
La (0.000, 0.778, 0.734)
P (0.000, 0.000, 0.000)
P (0.500, 0.000, 0.500)
Te (0.500, 0.500, 0.000)
Se (0.000, 0.500, 0.500)

## Properties
Final energy ... -6.40 eV/atom
Total magnetization ... 0.00 μB/cell
ΔE_f (raw) ... -1.751 eV/atom
Space-group type ... No. 10
Theoretical density ... 5.8 g cm⁻³



Entry 3:
Computed, not measured: LaTePSe2 after structural relaxation at the GGA-PBE level of DFT.

abc: 5.316 5.026 5.316
angles: 90.00 90.00 90.00
Fractional coordinates of all 5 atoms:
Se (0.000, 0.000, 0.500)
Se (0.500, 0.000, 0.000)
Te (0.000, 0.000, 0.000)
P (0.000, 0.500, 0.000)
La (0.500, 0.500, 0.500)

## Properties
Final energy ... -4.35 eV/atom
Total magnetization ... 0.00 μB/cell
ΔE_f (raw) ... -0.264 eV/atom
Space-group type ... No. 123
Theoretical density ... 5.3 g cm⁻³



Entry 4:
Computed, not measured: La8Te4PSe3 after structural relaxation at the GGA-PBE level of DFT.

abc: 8.825 8.965 8.825
angles: 119.48 120.00 90.00
Fractional coordinates of all 16 atoms:
Te (0.500, 0.000, 0.000)
Te (0.000, 0.000, 0.000)
Te (0.500, 0.000, 0.500)
Te (0.000, 0.000, 0.500)
La (0.766, 0.281, 0.532)
La (0.234, 0.719, 0.468)
La (0.250, 0.281, 0.015)
La (0.234, 0.719, 0.985)
La (0.259, 0.276, 0.517)
La (0.741, 0.724, 0.483)
La (0.750, 0.719, 0.985)
La (0.766, 0.281, 0.015)
Se (0.000, 0.500, 0.500)
Se (0.500, 0.500, 0.500)
Se (0.500, 0.500, 0.000)
P (0.000, 0.500, 0.000)

## Properties
Final energy ... -6.02 eV/atom
Total magnetization ... 0.00 μB/cell
ΔE_f (raw) ... -1.776 eV/atom
Space-group type ... No. 166
Theoretical density ... 6.3 g cm⁻³